<A>
ScZn4Ag after structural relaxation. Source: the Alexandria database, functional PBE.

abc: 5.1830 5.1830 5.1830
angles: 60.00 60.00 60.00
Sites, in units of the cell vectors:
Zn  0.3745  0.8765  0.3745
Zn  0.3745  0.3745  0.3745
Ag  0.7500  0.7500  0.7500
Zn  0.8765  0.3745  0.3745
Zn  0.3745  0.3745  0.8765
Sc  0.0000  0.0000  0.0000

<B>
ScZn4Ag after structural relaxation. Source: the Alexandria database, functional PBE.

abc: 4.4104 4.4104 5.9063
angles: 90.00 90.00 120.00
Sites, in units of the cell vectors:
Sc  0.0000  0.0000  0.5000
Zn  0.6667  0.3333  0.2481
Ag  0.0000  0.0000  0.0000
Zn  0.3333  0.6667  0.2481
Zn  0.3333  0.6667  0.7519
Zn  0.6667  0.3333  0.7519

Most stable: <B>

<A>
Sc2ZnAg2 after structural relaxation. Source: the Alexandria database, functional PBE.

abc: 7.8089 7.8089 3.4481
angles: 90.00 90.00 90.00
Sites, in units of the cell vectors:
Ag  0.6337  0.8663  0.5000
Sc  0.1601  0.3399  0.0000
Sc  0.3399  0.8399  0.0000
Sc  0.6601  0.1601  0.0000
Ag  0.8663  0.3663  0.5000
Ag  0.3663  0.1337  0.5000
Ag  0.1337  0.6337  0.5000
Zn  0.5000  0.5000  0.0000
Sc  0.8399  0.6601  0.0000
Zn  0.0000  0.0000  0.0000

<B>
Sc2ZnAg2 after structural relaxation. Source: the Alexandria database, functional PBE.

abc: 7.3835 7.3835 3.6859
angles: 90.00 90.00 90.00
Sites, in units of the cell vectors:
Sc  0.1691  0.6691  0.5000
Ag  0.8667  0.6333  0.0000
Ag  0.1333  0.3667  0.0000
Ag  0.6333  0.1333  0.0000
Sc  0.8309  0.3309  0.5000
Ag  0.3667  0.8667  0.0000
Zn  0.5000  0.5000  0.0000
Sc  0.3309  0.1691  0.5000
Zn  0.0000  0.0000  0.0000
Sc  0.6691  0.8309  0.5000

Most stable: <B>

<A>
Sc2ZnAg2 after structural relaxation. Source: the Alexandria database, functional PBE.

abc: 3.3718 3.5946 8.4047
angles: 77.65 90.00 90.00
Sites, in units of the cell vectors:
Ag  0.0000  0.1867  0.6266
Zn  0.0000  0.0000  0.0000
Sc  0.5000  0.4031  0.1939
Sc  0.5000  0.5969  0.8061
Ag  0.0000  0.8133  0.3734

<B>
Sc2ZnAg2 after structural relaxation. Source: the Alexandria database, functional PBE.

abc: 3.7148 3.7148 8.2139
angles: 76.93 76.93 90.00
Sites, in units of the cell vectors:
Sc  0.5978  0.5978  0.8045
Zn  0.0000  0.0000  0.0000
Sc  0.4022  0.4022  0.1955
Ag  0.2500  0.7500  0.5000
Ag  0.7500  0.2500  0.5000

Most stable: <A>

<A>
ZrSc2Ag after structural relaxation. Source: the Alexandria database, functional PBE.

abc: 3.2522 3.2522 8.2754
angles: 90.00 90.00 90.00
Sites, in units of the cell vectors:
Sc  0.0000  0.0000  0.9835
Zr  0.5000  0.5000  0.2500
Sc  0.0000  0.0000  0.5165
Ag  0.5000  0.5000  0.7500

<B>
ZrSc2Ag after structural relaxation. Source: the Alexandria database, functional PBE.

abc: 5.6182 5.6182 5.6182
angles: 135.25 135.25 65.14
Sites, in units of the cell vectors:
Zr  0.5000  0.5000  0.0000
Ag  0.7500  0.2500  0.5000
Sc  0.0000  0.0000  0.0000
Sc  0.2500  0.7500  0.5000

Most stable: <A>

<A>
ZrSc2Ag after structural relaxation. Source: the Alexandria database, functional PBE.

abc: 4.7258 3.2460 6.0628
angles: 72.68 90.00 90.00
Sites, in units of the cell vectors:
Zr  0.0000  0.5863  0.5020
Sc  0.5000  0.2457  0.2621
Ag  0.5000  0.7234  0.7571
Sc  0.0000  0.9445  0.9788

<B>
ZrSc2Ag after structural relaxation. Source: the Alexandria database, functional PBE.

abc: 4.9734 4.9734 4.9734
angles: 60.00 60.00 60.00
Sites, in units of the cell vectors:
Zr  0.0000  0.0000  0.0000
Sc  0.7500  0.7500  0.7500
Ag  0.5000  0.5000  0.5000
Sc  0.2500  0.2500  0.2500

<C>
ZrSc2Ag after structural relaxation. Source: the Alexandria database, functional PBE.

abc: 6.0199 6.0199 4.9301
angles: 65.80 65.80 32.92
Sites, in units of the cell vectors:
Zr  0.4813  0.4813  0.5187
Sc  0.0240  0.0240  0.9760
Ag  0.7469  0.7469  0.7531
Sc  0.2478  0.2478  0.2522

<D>
ZrSc2Ag after structural relaxation. Source: the Alexandria database, functional PBE.

abc: 3.3740 4.1148 6.3274
angles: 90.00 90.00 90.00
Sites, in units of the cell vectors:
Sc  0.0000  0.0000  0.9910
Ag  0.5000  0.5000  0.7529
Zr  0.0000  0.0000  0.4964
Sc  0.5000  0.5000  0.2597

Most stable: <C>

<A>
ZrSc2Ag after structural relaxation. Source: the Alexandria database, functional PBE.

abc: 7.8021 7.8021 6.2899
angles: 51.67 51.67 90.00
Sites, in units of the cell vectors:
Zr  0.5000  0.5000  0.0000
Ag  0.7500  0.2500  0.5000
Ag  0.0000  0.0000  0.0000
Sc  0.0902  0.6250  0.2500
Sc  0.8750  0.9098  0.7500
Sc  0.6598  0.1250  0.2500
Sc  0.3750  0.3402  0.7500
Zr  0.2500  0.7500  0.5000

<B>
ZrSc2Ag after structural relaxation. Source: the Alexandria database, functional PBE.

abc: 3.3564 5.2570 4.9230
angles: 90.00 90.00 90.00
Sites, in units of the cell vectors:
Sc  0.5000  0.5000  0.0000
Zr  0.5000  0.0000  0.5000
Ag  0.0000  0.5000  0.5000
Sc  0.0000  0.0000  0.0000

Most stable: <B>